! TbHo3Al2 PBE optimized geometry; values from VASP
! DOS(E_F) (states/eV/atom): 1.29
! Energy of formation (eV/atom): 0.223
! Space group: No. 71
! Uncorrected energy (eV per atom): -4.0847
! E above lowest polymorph (meV per atom): 516
! Magnetization (μB per formula unit): 0.00
&SYSTEM
  ibrav = 0, nat = 6, ntyp = 3
/
ATOMIC_SPECIES
Al 26.98 Al.upf
Ho 164.93 Ho.upf
Tb 158.93 Tb.upf
CELL_PARAMETERS angstrom
3.293 0.000 0.000
0.000 5.479 0.000
-1.647 -2.740 9.080
ATOMIC_POSITIONS crystal
Al 0.357 0.357 0.714
Ho 0.190 0.190 0.380
Al 0.643 0.643 0.286
Ho 0.810 0.810 0.620
Ho 0.000 0.500 0.000
Tb 0.000 0.000 0.000